Version one
Ba2MgZnPt | GGA-PBE | relaxed

Geometry as POSCAR:
```
Ba2MgZnPt
1.0
6.164 0.000 0.000
0.000 6.164 0.000
0.000 0.000 4.971
Ba Mg Zn Pt
2 1 1 1
Cartesian
0.000 3.082 0.000
3.082 0.000 0.000
0.000 0.000 2.485
3.082 3.082 2.485
3.082 3.082 0.000
```

Values from the calculation:
* calculated density: 4.92 Mg/m³

---

Version two
Ba2MgZnPt | GGA-PBE | relaxed

Geometry as POSCAR:
```
Ba2MgZnPt
1.0
6.133 0.000 0.000
0.000 6.133 0.000
0.000 0.000 5.121
Ba Mg Zn Pt
2 1 1 1
Cartesian
0.000 3.067 0.000
3.067 0.000 0.000
0.000 0.000 2.560
3.067 3.067 2.560
0.000 0.000 0.000
```

Values from the calculation:
* calculated density: 4.82 Mg/m³

---

Need the numbers? Relative energies in eV/atom: version one 0.019; version two 0.000.